Record 1
6
Lattice="3.516 0.000 0.000 0.000 3.516 0.000 0.000 0.000 14.063" Properties=species:S:1:pos:R:3 comment="PBE-GGA YTm4Cd, relaxed" crystal_system=tetragonal ef_ev_per_atom=-0.08 pbc="T T T"
Tm 0.000 0.000 4.956
Tm 0.000 0.000 9.107
Cd 1.758 1.758 7.032
Tm 1.758 1.758 2.502
Y 0.000 0.000 0.000
Tm 1.758 1.758 11.561

Record 2
18
Lattice="-0.104 -6.679 -0.259 2.667 0.252 -7.570 8.746 3.085 3.184" Properties=species:S:1:pos:R:3 comment="PBE-GGA Y2Tm3Cd4, relaxed" crystal_system=orthorhombic ef_ev_per_atom=-0.16 pbc="T T T"
Cd 5.418 0.165 -6.436
Tm 0.000 0.000 0.000
Cd 7.171 -0.051 -1.566
Tm 4.889 -1.731 -0.465
Cd 5.891 -3.507 1.790
Cd 1.936 -1.645 -1.502
Cd 1.884 -4.984 -1.632
Cd 9.424 1.643 -3.014
Tm 6.471 1.729 -4.051
Tm 6.419 -1.611 -4.180
Y 3.218 0.104 -3.976
Y 3.965 -3.160 -6.372
Tm 1.281 -3.213 -3.915
Cd 9.372 -1.697 -3.143
Tm 4.837 -5.070 -0.594
Cd 4.137 -3.290 -3.079
Y 8.090 -3.446 -0.669
Y 7.344 -0.182 1.727

Record 3
10
Lattice="5.659 0.000 0.000 2.829 7.465 0.000 2.829 0.000 7.465" Properties=species:S:1:pos:R:3 comment="PBE-GGA Y4Tm5Cd, relaxed" crystal_system=tetragonal ef_ev_per_atom=0.13 pbc="T T T"
Tm 8.238 7.465 2.750
Tm 3.758 0.000 0.000
Y 5.434 5.082 2.383
Y 5.434 2.383 5.082
Tm 5.408 2.750 0.000
Y 8.264 5.082 5.082
Tm 2.579 0.000 4.714
Cd 1.031 0.000 0.000
Tm 5.408 4.714 7.465
Y 2.605 2.383 2.383

Record 4
10
Lattice="-3.397 1.517 0.335 -0.594 -0.524 -3.650 -7.203 -16.923 3.602" Properties=species:S:1:pos:R:3 comment="PBE-GGA Y4TmCd5, relaxed" crystal_system=tetragonal ef_ev_per_atom=-0.35 pbc="T T T"
Cd -7.044 -11.365 0.867
Cd -4.150 -4.565 -0.580
Cd -2.693 -1.142 -1.309
Y -2.877 -6.759 1.439
Y -1.428 -3.355 0.714
Cd -5.597 -7.965 0.143
Y -5.775 -13.568 2.888
Tm 0.000 0.000 0.000
Y -4.326 -10.164 2.164
Cd -8.501 -14.788 1.596